TiCoNi | PBE | relaxed

The structure in POSCAR format:
```
TiCoNi
1.0
4.1295 0.0000 0.0000
-2.0648 3.5763 0.0000
0.0000 0.0000 4.9637
Ti Co Ni
2 2 2
Direct
0.3333 0.6667 0.2500
0.6667 0.3333 0.7500
0.3333 0.6667 0.7500
0.6667 0.3333 0.2500
0.0000 0.0000 0.0000
0.0000 0.0000 0.5000
```

## Properties
space group = P6_3/mmc, No. 194
E above lowest polymorph = 0.0 meV/atom

***

BaCoSbBr2 | PBE | relaxed

The structure in POSCAR format:
```
BaCoSbBr2
1.0
6.0357 0.0000 0.0000
0.0000 6.0357 0.0000
0.0000 0.0000 7.1990
Ba Co Sb Br
1 1 1 2
Direct
0.0000 0.0000 0.0000
0.5000 0.5000 0.5000
0.0000 0.0000 0.5000
0.0000 0.5000 0.0000
0.5000 0.0000 0.0000
```

## Properties
space group = P4/mmm, No. 123
E_tot = -0.21832 Ry per atom

***

CaThIrO6 | PBE | relaxed

The structure in POSCAR format:
```
CaThIrO6
1.0
5.0833 0.0000 0.0000
0.0000 5.0833 0.0000
0.0000 0.0000 10.2111
Ca Th Ir O
2 2 2 12
Direct
0.0000 0.0000 0.0000
0.5000 0.5000 0.5000
0.0000 0.0000 0.3365
0.5000 0.5000 0.8365
0.0000 0.0000 0.6699
0.5000 0.5000 0.1699
0.1805 0.1805 0.5264
0.1850 0.1850 0.8123
0.2287 0.2287 0.1746
0.2713 0.7287 0.6746
0.3150 0.6850 0.3123
0.3195 0.6805 0.0264
0.6805 0.3195 0.0264
0.6850 0.3150 0.3123
0.7287 0.2713 0.6746
0.7713 0.7713 0.1746
0.8150 0.8150 0.8123
0.8195 0.8195 0.5264
```

## Properties
space group = P4_2nm, No. 102
E_tot = -0.55010 Ry per atom

***

CuP2Ru | PBE | relaxed

The structure in POSCAR format:
```
CuP2Ru
1.0
0.0000 2.9650 2.9650
2.9650 0.0000 2.9650
2.9650 2.9650 0.0000
Cu P Ru
1 2 1
Direct
0.0000 0.0000 0.0000
0.2500 0.2500 0.2500
0.7500 0.7500 0.7500
0.5000 0.5000 0.5000
```

## Properties
space group = Fm-3m, No. 225
E above lowest polymorph = 230.6 meV/atom

***

Ta2TlSb | PBE | relaxed

The structure in POSCAR format:
```
Ta2TlSb
1.0
0.0000 3.4262 3.4262
3.4262 0.0000 3.4262
3.4262 3.4262 0.0000
Ta Tl Sb
2 1 1
Direct
0.2500 0.2500 0.2500
0.7500 0.7500 0.7500
0.0000 0.0000 0.0000
0.5000 0.5000 0.5000
```

## Properties
space group = Fm-3m, No. 225
E above lowest polymorph = 328.3 meV/atom

***

La3AgMo | PBE | relaxed

The structure in POSCAR format:
```
La3AgMo
1.0
5.5034 0.0000 0.0000
0.0000 5.5034 0.0000
0.0000 0.0000 5.5034
La Ag Mo
3 1 1
Direct
0.0000 0.0000 0.5000
0.0000 0.5000 0.0000
0.5000 0.0000 0.0000
0.5000 0.5000 0.5000
0.0000 0.0000 0.0000
```

## Properties
space group = Pm-3m, No. 221
E above lowest polymorph = 0.0 meV/atom

***

NaDySeS | PBE | relaxed

The structure in POSCAR format:
```
NaDySeS
1.0
2.0315 1.1729 6.8452
-2.0315 1.1729 6.8452
0.0000 -2.3458 6.8452
Na Dy Se S
1 1 1 1
Direct
0.0000 0.0000 0.0000
0.5061 0.5061 0.5061
0.7588 0.7588 0.7588
0.2440 0.2440 0.2440
```

## Properties
space group = R3m, No. 160
E_tot = -0.37901 Ry per atom

***

YHo6 | PBE | relaxed

The structure in POSCAR format:
```
YHo6
1.0
6.4660 0.0000 0.0000
0.0000 6.4660 0.0000
0.0000 0.0000 10.9314
Y Ho
2 12
Direct
0.2500 0.7500 0.0000
0.7500 0.2500 0.0000
0.0819 0.5819 0.3625
0.0819 0.9181 0.6375
0.2500 0.2500 0.1407
0.2500 0.2500 0.8593
0.4181 0.5819 0.6375
0.4181 0.9181 0.3625
0.5819 0.0819 0.6375
0.5819 0.4181 0.3625
0.7500 0.7500 0.1407
0.7500 0.7500 0.8593
0.9181 0.0819 0.3625
0.9181 0.4181 0.6375
```

## Properties
space group = P4/nbm, No. 125
E above lowest polymorph = 0.0 meV/atom

***

MnSb2Cl | PBE | relaxed

The structure in POSCAR format:
```
MnSb2Cl
1.0
3.2756 0.0000 0.0000
0.0000 5.0291 0.0000
0.0000 0.0000 5.6645
Mn Sb Cl
1 2 1
Direct
0.0000 0.0000 0.0000
0.0000 0.5000 0.5000
0.5000 0.5000 0.0000
0.5000 0.0000 0.5000
```

## Properties
space group = Pmmm, No. 47
E above lowest polymorph = 406.5 meV/atom

***

Ta2AlW | PBE | relaxed

The structure in POSCAR format:
```
Ta2AlW
1.0
-1.7113 2.2638 4.4241
1.7113 -2.2638 4.4241
1.7113 2.2638 -4.4241
Ta Al W
2 1 1
Direct
0.2371 0.2371 0.0000
0.7629 0.7629 0.0000
0.5000 0.0000 0.5000
0.0000 0.5000 0.5000
```

## Properties
space group = Immm, No. 71
E_tot = -0.74700 Ry per atom

***

PdSNCl2 | PBE | relaxed

The structure in POSCAR format:
```
PdSNCl2
1.0
5.0228 0.0000 0.0000
0.0000 5.0228 0.0000
0.0000 0.0000 4.5253
Pd S N Cl
1 1 1 2
Direct
0.0000 0.0000 0.0000
0.0000 0.0000 0.5000
0.5000 0.5000 0.5000
0.0000 0.5000 0.0000
0.5000 0.0000 0.0000
```

## Properties
space group = P4/mmm, No. 123
E above lowest polymorph = 0.0 meV/atom

***

Tl2BiAs2 | PBE | relaxed

The structure in POSCAR format:
```
Tl2BiAs2
1.0
8.2361 0.0000 0.0000
0.0000 8.2361 0.0000
0.0000 0.0000 3.9737
Tl Bi As
4 2 4
Direct
0.1442 0.3558 0.0000
0.3558 0.8558 0.0000
0.6442 0.1442 0.0000
0.8558 0.6442 0.0000
0.0000 0.0000 0.5000
0.5000 0.5000 0.5000
0.1631 0.6631 0.5000
0.3369 0.1631 0.5000
0.6631 0.8369 0.5000
0.8369 0.3369 0.5000
```

## Properties
space group = P4/mbm, No. 127
E above lowest polymorph = 56.7 meV/atom